i.
Material: LiNiSnMo
Method: DFT, PBE-GGA
State: optimized geometry

a = 6.267 Å, b = 6.267 Å, c = 6.267 Å
α = 90.00°, β = 90.00°, γ = 90.00°
Fractional positions:
1 Li 0.000 0.000 0.000
2 Li 0.000 0.500 0.500
3 Li 0.500 0.000 0.500
4 Li 0.500 0.500 0.000
5 Ni 0.250 0.250 0.750
6 Ni 0.250 0.750 0.250
7 Ni 0.750 0.250 0.250
8 Ni 0.750 0.750 0.750
9 Sn 0.000 0.000 0.500
10 Sn 0.000 0.500 0.000
11 Sn 0.500 0.000 0.000
12 Sn 0.500 0.500 0.500
13 Mo 0.250 0.250 0.250
14 Mo 0.250 0.750 0.750
15 Mo 0.750 0.250 0.750
16 Mo 0.750 0.750 0.250

Computed properties:
spin magnetization: 7.9 Bohr magnetons per cell

***

ii.
Material: LiNiSnMo
Method: DFT, PBE-GGA
State: optimized geometry

a = 6.153 Å, b = 6.153 Å, c = 6.153 Å
α = 90.00°, β = 90.00°, γ = 90.00°
Fractional positions:
1 Li 0.000 0.000 0.000
2 Li 0.000 0.500 0.500
3 Li 0.500 0.000 0.500
4 Li 0.500 0.500 0.000
5 Ni 0.000 0.000 0.500
6 Ni 0.000 0.500 0.000
7 Ni 0.500 0.000 0.000
8 Ni 0.500 0.500 0.500
9 Sn 0.250 0.250 0.250
10 Sn 0.250 0.750 0.750
11 Sn 0.750 0.250 0.750
12 Sn 0.750 0.750 0.250
13 Mo 0.250 0.250 0.750
14 Mo 0.250 0.750 0.250
15 Mo 0.750 0.250 0.250
16 Mo 0.750 0.750 0.750

Computed properties:
spin magnetization: 10.4 Bohr magnetons per cell

***

Order of stability, best first: ii, i

***

i.
Material: LiYMoOs
Method: DFT, PBE-GGA
State: optimized geometry

a = 6.436 Å, b = 6.436 Å, c = 6.436 Å
α = 90.00°, β = 90.00°, γ = 90.00°
Fractional positions:
1 Li 0.000 0.000 0.000
2 Li 0.000 0.500 0.500
3 Li 0.500 0.000 0.500
4 Li 0.500 0.500 0.000
5 Y 0.250 0.250 0.250
6 Y 0.250 0.750 0.750
7 Y 0.750 0.250 0.750
8 Y 0.750 0.750 0.250
9 Mo 0.000 0.000 0.500
10 Mo 0.000 0.500 0.000
11 Mo 0.500 0.000 0.000
12 Mo 0.500 0.500 0.500
13 Os 0.250 0.250 0.750
14 Os 0.250 0.750 0.250
15 Os 0.750 0.250 0.250
16 Os 0.750 0.750 0.750

Computed properties:
spin magnetization: 0.0 Bohr magnetons per cell

***

ii.
Material: LiYMoOs
Method: DFT, PBE-GGA
State: optimized geometry

a = 6.542 Å, b = 6.542 Å, c = 6.542 Å
α = 90.00°, β = 90.00°, γ = 90.00°
Fractional positions:
1 Li 0.000 0.000 0.000
2 Li 0.000 0.500 0.500
3 Li 0.500 0.000 0.500
4 Li 0.500 0.500 0.000
5 Y 0.000 0.000 0.500
6 Y 0.000 0.500 0.000
7 Y 0.500 0.000 0.000
8 Y 0.500 0.500 0.500
9 Mo 0.250 0.250 0.250
10 Mo 0.250 0.750 0.750
11 Mo 0.750 0.250 0.750
12 Mo 0.750 0.750 0.250
13 Os 0.250 0.250 0.750
14 Os 0.250 0.750 0.250
15 Os 0.750 0.250 0.250
16 Os 0.750 0.750 0.750

Computed properties:
spin magnetization: 9.0 Bohr magnetons per cell

***

iii.
Material: LiYMoOs
Method: DFT, PBE-GGA
State: optimized geometry

a = 6.507 Å, b = 6.507 Å, c = 6.507 Å
α = 90.00°, β = 90.00°, γ = 90.00°
Fractional positions:
1 Li 0.000 0.000 0.000
2 Li 0.000 0.500 0.500
3 Li 0.500 0.000 0.500
4 Li 0.500 0.500 0.000
5 Y 0.250 0.250 0.250
6 Y 0.250 0.750 0.750
7 Y 0.750 0.250 0.750
8 Y 0.750 0.750 0.250
9 Mo 0.250 0.250 0.750
10 Mo 0.250 0.750 0.250
11 Mo 0.750 0.250 0.250
12 Mo 0.750 0.750 0.750
13 Os 0.000 0.000 0.500
14 Os 0.000 0.500 0.000
15 Os 0.500 0.000 0.000
16 Os 0.500 0.500 0.500

Computed properties:
spin magnetization: 0.2 Bohr magnetons per cell

***

Order of stability, best first: iii, i, ii

***

i.
Material: LiPmMo
Method: DFT, PBE-GGA
State: optimized geometry

a = 6.684 Å, b = 6.684 Å, c = 6.684 Å
α = 90.00°, β = 90.00°, γ = 90.00°
Fractional positions:
1 Li 0.000 0.000 0.000
2 Li 0.000 0.500 0.500
3 Li 0.500 0.000 0.500
4 Li 0.500 0.500 0.000
5 Pm 0.250 0.250 0.250
6 Pm 0.250 0.750 0.750
7 Pm 0.750 0.250 0.750
8 Pm 0.750 0.750 0.250
9 Mo 0.000 0.000 0.500
10 Mo 0.000 0.500 0.000
11 Mo 0.500 0.000 0.000
12 Mo 0.500 0.500 0.500

Computed properties:
spin magnetization: 8.9 Bohr magnetons per cell

***

ii.
Material: LiPmMo
Method: DFT, PBE-GGA
State: optimized geometry

a = 6.631 Å, b = 6.631 Å, c = 6.631 Å
α = 90.00°, β = 90.00°, γ = 90.00°
Fractional positions:
1 Li 0.000 0.000 0.000
2 Li 0.000 0.500 0.500
3 Li 0.500 0.000 0.500
4 Li 0.500 0.500 0.000
5 Pm 0.000 0.000 0.500
6 Pm 0.000 0.500 0.000
7 Pm 0.500 0.000 0.000
8 Pm 0.500 0.500 0.500
9 Mo 0.250 0.250 0.250
10 Mo 0.250 0.750 0.750
11 Mo 0.750 0.250 0.750
12 Mo 0.750 0.750 0.250

Computed properties:
spin magnetization: 8.4 Bohr magnetons per cell

***

Order of stability, best first: ii, i

***

i.
Material: LiPrMo
Method: DFT, PBE-GGA
State: optimized geometry

a = 6.673 Å, b = 6.673 Å, c = 6.673 Å
α = 90.00°, β = 90.00°, γ = 90.00°
Fractional positions:
1 Li 0.000 0.000 0.000
2 Li 0.000 0.500 0.500
3 Li 0.500 0.000 0.500
4 Li 0.500 0.500 0.000
5 Pr 0.000 0.000 0.500
6 Pr 0.000 0.500 0.000
7 Pr 0.500 0.000 0.000
8 Pr 0.500 0.500 0.500
9 Mo 0.250 0.250 0.250
10 Mo 0.250 0.750 0.750
11 Mo 0.750 0.250 0.750
12 Mo 0.750 0.750 0.250

Computed properties:
spin magnetization: 8.1 Bohr magnetons per cell

***

ii.
Material: LiPrMo
Method: DFT, PBE-GGA
State: optimized geometry

a = 6.757 Å, b = 6.757 Å, c = 6.757 Å
α = 90.00°, β = 90.00°, γ = 90.00°
Fractional positions:
1 Li 0.000 0.000 0.000
2 Li 0.000 0.500 0.500
3 Li 0.500 0.000 0.500
4 Li 0.500 0.500 0.000
5 Pr 0.250 0.250 0.250
6 Pr 0.250 0.750 0.750
7 Pr 0.750 0.250 0.750
8 Pr 0.750 0.750 0.250
9 Mo 0.000 0.000 0.500
10 Mo 0.000 0.500 0.000
11 Mo 0.500 0.000 0.000
12 Mo 0.500 0.500 0.500

Computed properties:
spin magnetization: 8.5 Bohr magnetons per cell

***

Order of stability, best first: i, ii

***

i.
Material: LiReSnMo
Method: DFT, PBE-GGA
State: optimized geometry

a = 6.302 Å, b = 6.302 Å, c = 6.302 Å
α = 90.00°, β = 90.00°, γ = 90.00°
Fractional positions:
1 Li 0.000 0.000 0.000
2 Li 0.000 0.500 0.500
3 Li 0.500 0.000 0.500
4 Li 0.500 0.500 0.000
5 Re 0.000 0.000 0.500
6 Re 0.000 0.500 0.000
7 Re 0.500 0.000 0.000
8 Re 0.500 0.500 0.500
9 Sn 0.250 0.250 0.750
10 Sn 0.250 0.750 0.250
11 Sn 0.750 0.250 0.250
12 Sn 0.750 0.750 0.750
13 Mo 0.250 0.250 0.250
14 Mo 0.250 0.750 0.750
15 Mo 0.750 0.250 0.750
16 Mo 0.750 0.750 0.250

Computed properties:
spin magnetization: 0.0 Bohr magnetons per cell

***

ii.
Material: LiReSnMo
Method: DFT, PBE-GGA
State: optimized geometry

a = 6.339 Å, b = 6.339 Å, c = 6.339 Å
α = 90.00°, β = 90.00°, γ = 90.00°
Fractional positions:
1 Li 0.000 0.000 0.000
2 Li 0.000 0.500 0.500
3 Li 0.500 0.000 0.500
4 Li 0.500 0.500 0.000
5 Re 0.250 0.250 0.250
6 Re 0.250 0.750 0.750
7 Re 0.750 0.250 0.750
8 Re 0.750 0.750 0.250
9 Sn 0.000 0.000 0.500
10 Sn 0.000 0.500 0.000
11 Sn 0.500 0.000 0.000
12 Sn 0.500 0.500 0.500
13 Mo 0.250 0.250 0.750
14 Mo 0.250 0.750 0.250
15 Mo 0.750 0.250 0.250
16 Mo 0.750 0.750 0.750

Computed properties:
spin magnetization: 3.2 Bohr magnetons per cell

***

Order of stability, best first: i, ii

***

i.
Material: LiTaTeMo
Method: DFT, PBE-GGA
State: optimized geometry

a = 6.456 Å, b = 6.456 Å, c = 6.456 Å
α = 90.00°, β = 90.00°, γ = 90.00°
Fractional positions:
1 Li 0.000 0.000 0.000
2 Li 0.000 0.500 0.500
3 Li 0.500 0.000 0.500
4 Li 0.500 0.500 0.000
5 Ta 0.250 0.250 0.750
6 Ta 0.250 0.750 0.250
7 Ta 0.750 0.250 0.250
8 Ta 0.750 0.750 0.750
9 Te 0.000 0.000 0.500
10 Te 0.000 0.500 0.000
11 Te 0.500 0.000 0.000
12 Te 0.500 0.500 0.500
13 Mo 0.250 0.250 0.250
14 Mo 0.250 0.750 0.750
15 Mo 0.750 0.250 0.750
16 Mo 0.750 0.750 0.250

Computed properties:
spin magnetization: 0.0 Bohr magnetons per cell

***

ii.
Material: LiTaTeMo
Method: DFT, PBE-GGA
State: optimized geometry

a = 6.433 Å, b = 6.433 Å, c = 6.433 Å
α = 90.00°, β = 90.00°, γ = 90.00°
Fractional positions:
1 Li 0.000 0.000 0.000
2 Li 0.000 0.500 0.500
3 Li 0.500 0.000 0.500
4 Li 0.500 0.500 0.000
5 Ta 0.250 0.250 0.750
6 Ta 0.250 0.750 0.250
7 Ta 0.750 0.250 0.250
8 Ta 0.750 0.750 0.750
9 Te 0.250 0.250 0.250
10 Te 0.250 0.750 0.750
11 Te 0.750 0.250 0.750
12 Te 0.750 0.750 0.250
13 Mo 0.000 0.000 0.500
14 Mo 0.000 0.500 0.000
15 Mo 0.500 0.000 0.000
16 Mo 0.500 0.500 0.500

Computed properties:
spin magnetization: 0.0 Bohr magnetons per cell

***

Order of stability, best first: ii, i

***

i.
Material: LiTmMo
Method: DFT, PBE-GGA
State: optimized geometry

a = 6.208 Å, b = 6.208 Å, c = 6.208 Å
α = 90.00°, β = 90.00°, γ = 90.00°
Fractional positions:
1 Li 0.000 0.000 0.000
2 Li 0.000 0.500 0.500
3 Li 0.500 0.000 0.500
4 Li 0.500 0.500 0.000
5 Tm 0.250 0.250 0.250
6 Tm 0.250 0.750 0.750
7 Tm 0.750 0.250 0.750
8 Tm 0.750 0.750 0.250
9 Mo 0.250 0.250 0.750
10 Mo 0.250 0.750 0.250
11 Mo 0.750 0.250 0.250
12 Mo 0.750 0.750 0.750

Computed properties:
spin magnetization: 0.5 Bohr magnetons per cell

***

ii.
Material: LiTmMo
Method: DFT, PBE-GGA
State: optimized geometry

a = 6.567 Å, b = 6.567 Å, c = 6.567 Å
α = 90.00°, β = 90.00°, γ = 90.00°
Fractional positions:
1 Li 0.000 0.000 0.000
2 Li 0.000 0.500 0.500
3 Li 0.500 0.000 0.500
4 Li 0.500 0.500 0.000
5 Tm 0.250 0.250 0.250
6 Tm 0.250 0.750 0.750
7 Tm 0.750 0.250 0.750
8 Tm 0.750 0.750 0.250
9 Mo 0.000 0.000 0.500
10 Mo 0.000 0.500 0.000
11 Mo 0.500 0.000 0.000
12 Mo 0.500 0.500 0.500

Computed properties:
spin magnetization: 10.3 Bohr magnetons per cell

***

Order of stability, best first: i, ii

***

i.
Material: LiUMo
Method: DFT, PBE-GGA
State: optimized geometry

a = 6.108 Å, b = 6.108 Å, c = 6.108 Å
α = 90.00°, β = 90.00°, γ = 90.00°
Fractional positions:
1 Li 0.000 0.000 0.000
2 Li 0.000 0.500 0.500
3 Li 0.500 0.000 0.500
4 Li 0.500 0.500 0.000
5 U 0.000 0.000 0.500
6 U 0.000 0.500 0.000
7 U 0.500 0.000 0.000
8 U 0.500 0.500 0.500
9 Mo 0.250 0.250 0.250
10 Mo 0.250 0.750 0.750
11 Mo 0.750 0.250 0.750
12 Mo 0.750 0.750 0.250

Computed properties:
spin magnetization: 4.0 Bohr magnetons per cell

***

ii.
Material: LiUMo
Method: DFT, PBE-GGA
State: optimized geometry

a = 6.133 Å, b = 6.133 Å, c = 6.133 Å
α = 90.00°, β = 90.00°, γ = 90.00°
Fractional positions:
1 Li 0.000 0.000 0.000
2 Li 0.000 0.500 0.500
3 Li 0.500 0.000 0.500
4 Li 0.500 0.500 0.000
5 U 0.250 0.250 0.250
6 U 0.250 0.750 0.750
7 U 0.750 0.250 0.750
8 U 0.750 0.750 0.250
9 Mo 0.000 0.000 0.500
10 Mo 0.000 0.500 0.000
11 Mo 0.500 0.000 0.000
12 Mo 0.500 0.500 0.500

Computed properties:
spin magnetization: 3.7 Bohr magnetons per cell

***

Order of stability, best first: i, ii

***

i.
Material: Sr2Li3NbN4
Method: DFT, PBE-GGA
State: optimized geometry

a = 6.129 Å, b = 6.129 Å, c = 10.793 Å
α = 116.60°, β = 116.60°, γ = 53.95°
Fractional positions:
1 Sr 0.061 0.632 0.890
2 Sr 0.368 0.939 0.610
3 Sr 0.632 0.061 0.390
4 Sr 0.939 0.368 0.110
5 Li 0.124 0.522 0.455
6 Li 0.352 0.648 0.750
7 Li 0.478 0.876 0.045
8 Li 0.522 0.124 0.955
9 Li 0.648 0.352 0.250
10 Li 0.876 0.478 0.545
11 Nb 0.164 0.836 0.250
12 Nb 0.836 0.164 0.750
13 N 0.090 0.188 0.400
14 N 0.188 0.090 0.900
15 N 0.283 0.539 0.331
16 N 0.461 0.717 0.169
17 N 0.539 0.283 0.831
18 N 0.717 0.461 0.669
19 N 0.812 0.910 0.100
20 N 0.910 0.812 0.600

Computed properties:
spin magnetization: 0.0 Bohr magnetons per cell

***

ii.
Material: Sr2Li3NbN4
Method: DFT, PBE-GGA
State: optimized geometry

a = 8.692 Å, b = 8.968 Å, c = 6.997 Å
α = 90.00°, β = 90.00°, γ = 90.00°
Fractional positions:
1 Sr 0.000 0.000 0.241
2 Sr 0.000 0.000 0.759
3 Sr 0.243 0.246 0.500
4 Sr 0.257 0.746 0.000
5 Sr 0.500 0.500 0.259
6 Sr 0.500 0.500 0.741
7 Sr 0.743 0.254 0.000
8 Sr 0.757 0.754 0.500
9 Li 0.018 0.635 0.263
10 Li 0.018 0.635 0.737
11 Li 0.205 0.578 0.500
12 Li 0.295 0.078 0.000
13 Li 0.482 0.135 0.237
14 Li 0.482 0.135 0.763
15 Li 0.518 0.865 0.237
16 Li 0.518 0.865 0.763
17 Li 0.705 0.922 0.000
18 Li 0.795 0.422 0.500
19 Li 0.982 0.365 0.263
20 Li 0.982 0.365 0.737
21 Nb 0.214 0.363 0.000
22 Nb 0.286 0.863 0.500
23 Nb 0.714 0.137 0.500
24 Nb 0.786 0.637 0.000
25 N 0.046 0.215 0.000
26 N 0.072 0.779 0.500
27 N 0.198 0.482 0.236
28 N 0.198 0.482 0.764
29 N 0.302 0.982 0.264
30 N 0.302 0.982 0.736
31 N 0.428 0.279 0.000
32 N 0.454 0.715 0.500
33 N 0.546 0.285 0.500
34 N 0.572 0.721 0.000
35 N 0.698 0.018 0.264
36 N 0.698 0.018 0.736
37 N 0.802 0.518 0.236
38 N 0.802 0.518 0.764
39 N 0.928 0.221 0.500
40 N 0.954 0.785 0.000

Computed properties:
spin magnetization: 0.0 Bohr magnetons per cell

***

Order of stability, best first: ii, i

***

i.
Material: LiPaNO
Method: DFT, PBE-GGA
State: optimized geometry

a = 3.416 Å, b = 5.464 Å, c = 5.694 Å
α = 90.00°, β = 90.00°, γ = 90.00°
Fractional positions:
1 Li 0.000 0.229 0.000
2 Li 0.000 0.771 0.500
3 Pa 0.500 0.299 0.532
4 Pa 0.500 0.701 0.032
5 N 0.000 0.447 0.290
6 N 0.000 0.553 0.790
7 O 0.500 0.088 0.888
8 O 0.500 0.912 0.388

Computed properties:
spin magnetization: 2.0 Bohr magnetons per cell

***

ii.
Material: LiPaNO
Method: DFT, PBE-GGA
State: optimized geometry

a = 4.804 Å, b = 4.804 Å, c = 4.502 Å
α = 90.00°, β = 90.00°, γ = 90.00°
Fractional positions:
1 Li 0.250 0.250 0.003
2 Li 0.750 0.750 0.997
3 Pa 0.250 0.750 0.500
4 Pa 0.750 0.250 0.500
5 N 0.250 0.250 0.499
6 N 0.750 0.750 0.501
7 O 0.250 0.750 0.000
8 O 0.750 0.250 0.000

Computed properties:
spin magnetization: 0.1 Bohr magnetons per cell

***

Order of stability, best first: ii, i

***

i.
Material: LiPrNO
Method: DFT, PBE-GGA
State: optimized geometry

a = 3.828 Å, b = 3.828 Å, c = 7.359 Å
α = 90.00°, β = 90.00°, γ = 90.00°
Fractional positions:
1 Li 0.250 0.750 0.000
2 Li 0.750 0.250 0.000
3 Pr 0.250 0.250 0.324
4 Pr 0.750 0.750 0.676
5 N 0.250 0.250 0.882
6 N 0.750 0.750 0.118
7 O 0.250 0.750 0.500
8 O 0.750 0.250 0.500

Computed properties:
spin magnetization: 2.0 Bohr magnetons per cell

***

ii.
Material: LiPrNO
Method: DFT, PBE-GGA
State: optimized geometry

a = 4.968 Å, b = 4.968 Å, c = 4.612 Å
α = 90.00°, β = 90.00°, γ = 90.00°
Fractional positions:
1 Li 0.250 0.250 0.001
2 Li 0.750 0.750 0.999
3 Pr 0.250 0.750 0.500
4 Pr 0.750 0.250 0.500
5 N 0.250 0.250 0.504
6 N 0.750 0.750 0.496
7 O 0.250 0.750 0.000
8 O 0.750 0.250 0.000

Computed properties:
spin magnetization: 2.0 Bohr magnetons per cell

***

Order of stability, best first: i, ii